DFT (PBE) results for a geometry-optimized Y2MnBiW structure.

Geometry as POSCAR:
```
Y2MnBiW
1.0
5.760 0.000 0.000
0.000 5.760 0.000
0.000 0.000 4.896
Y Mn Bi W
2 1 1 1
direct
0.000 0.500 0.000
0.500 0.000 0.000
0.000 0.000 0.500
0.000 0.000 0.000
0.500 0.500 0.500
```

Values from the calculation:
DFT formation energy: 1.47 eV per atom
Magnetic moment: 6.68 μB/f.u.
Calculated volume: 162 Å³/cell